PrNdNiPt: relaxed, PBE.

Summary:
SG = F-43m
Magnetic moment = 0.0000 μB per atom
Crystal system = cubic
Energy relative to the elements = -58.9 kJ/mol of atoms
Relative energy among the computed polymorphs = 0.112 eV per atom

Lattice parameters (Å, degrees): 7.1587 7.1587 7.1587 90.00 90.00 90.00
With the nearest neighbours (Å) after each atom.
Positions (direct):
Pr (0.0000, 0.0000, 0.0000)  4 Pt 3.10, 4 Ni 3.10
Pr (0.0000, 0.5000, 0.5000)  4 Pt 3.10, 4 Ni 3.10
Pr (0.5000, 0.0000, 0.5000)  4 Pt 3.10, 4 Ni 3.10
Pr (0.5000, 0.5000, 0.0000)  4 Pt 3.10, 4 Ni 3.10
Nd (0.0000, 0.0000, 0.5000)  4 Ni 3.10, 4 Pt 3.10
Nd (0.0000, 0.5000, 0.0000)  4 Ni 3.10, 4 Pt 3.10
Nd (0.5000, 0.0000, 0.0000)  4 Ni 3.10, 4 Pt 3.10
Nd (0.5000, 0.5000, 0.5000)  4 Ni 3.10, 4 Pt 3.10
Ni (0.2500, 0.2500, 0.2500)  4 Pr 3.10, 4 Nd 3.10
Ni (0.2500, 0.7500, 0.7500)  4 Pr 3.10, 4 Nd 3.10
Ni (0.7500, 0.2500, 0.7500)  4 Pr 3.10, 4 Nd 3.10
Ni (0.7500, 0.7500, 0.2500)  4 Pr 3.10, 4 Nd 3.10
Pt (0.2500, 0.2500, 0.7500)  4 Pr 3.10, 4 Nd 3.10
Pt (0.2500, 0.7500, 0.2500)  4 Pr 3.10, 4 Nd 3.10
Pt (0.7500, 0.2500, 0.2500)  4 Pr 3.10, 4 Nd 3.10
Pt (0.7500, 0.7500, 0.7500)  4 Pr 3.10, 4 Nd 3.10